{"formula": "NbP2PtO", "functional": "PBE", "state": "relaxed", "polymorph_energy_ev_per_fu": 2.59, "lattice_angstrom": [[4.728, 0.000, 0.000], [0.000, 4.728, 0.000], [0.000, 0.000, 3.780]], "species": ["P", "P", "Nb", "Pt", "O"], "fractional_positions": [[0.000, 0.500, 0.000], [0.500, 0.000, 0.000], [0.500, 0.500, 0.500], [0.000, 0.000, 0.000], [0.000, 0.000, 0.500]]}

{"formula": "TmPuGaCu", "functional": "PBE", "state": "relaxed", "lattice_angstrom": [[4.964, 0.000, 0.000], [2.482, 4.299, 0.000], [2.482, 1.433, 4.053]], "species": ["Pu", "Tm", "Ga", "Cu"], "fractional_positions": [[0.000, 0.000, 0.000], [0.500, 0.500, 0.500], [0.750, 0.750, 0.750], [0.250, 0.250, 0.250]]}

{"formula": "MgGaRh", "functional": "PBE", "state": "relaxed", "lattice_angstrom": [[-2.929, -1.998, -2.502], [3.098, -2.628, -1.527], [-1.112, -3.865, 4.375]], "species": ["Ga", "Mg", "Mg", "Rh", "Ga", "Rh"], "fractional_positions": [[0.249, 0.751, 0.000], [0.250, 0.750, 0.500], [0.750, 0.250, 0.500], [0.750, 0.750, 0.785], [0.751, 0.249, 0.000], [0.250, 0.250, 0.215]]}

{"formula": "LiTeCl2", "functional": "PBE", "state": "relaxed", "polymorph_energy_ev_per_fu": 1.06, "lattice_angstrom": [[-1.509, -4.084, -4.199], [1.348, -4.337, 3.996], [-3.792, 4.332, -1.858]], "species": ["Cl", "Cl", "Li", "Te"], "fractional_positions": [[0.961, 0.961, 0.000], [0.539, 0.539, 0.000], [0.750, 0.250, 0.500], [0.250, 0.750, 0.500]]}

{"formula": "YTl2F5", "functional": "PBE", "state": "relaxed", "lattice_angstrom": [[7.014, 0.000, 0.000], [0.000, 7.447, 0.000], [0.000, 0.000, 11.523]], "species": ["F", "Y", "F", "Y", "F", "F", "Y", "F", "F", "F", "Tl", "F", "Tl", "F", "Tl", "Tl", "F", "Tl", "Tl", "F", "F", "F", "Tl", "Y", "Tl", "F", "F", "F", "F", "F", "F", "F"], "fractional_positions": [[0.625, 0.750, 0.980], [0.440, 0.250, 0.502], [0.113, 0.750, 0.837], [0.560, 0.750, 0.498], [0.887, 0.250, 0.163], [0.143, 0.536, 0.068], [0.060, 0.250, 0.002], [0.357, 0.964, 0.568], [0.643, 0.036, 0.432], [0.613, 0.250, 0.663], [0.523, 0.001, 0.171], [0.875, 0.750, 0.480], [0.477, 0.501, 0.829], [0.387, 0.750, 0.337], [0.477, 0.999, 0.829], [0.023, 0.501, 0.329], [0.352, 0.250, 0.316], [0.023, 0.999, 0.329], [0.977, 0.001, 0.671], [0.857, 0.036, 0.932], [0.148, 0.250, 0.816], [0.143, 0.964, 0.068], [0.523, 0.499, 0.171], [0.940, 0.750, 0.998], [0.977, 0.499, 0.671], [0.125, 0.250, 0.520], [0.852, 0.750, 0.184], [0.375, 0.250, 0.020], [0.357, 0.536, 0.568], [0.857, 0.464, 0.932], [0.648, 0.750, 0.684], [0.643, 0.464, 0.432]]}

{"formula": "AuI", "functional": "PBE", "state": "relaxed", "lattice_angstrom": [[14.134, 0.000, 0.000], [0.000, 4.692, 0.000], [0.000, 0.000, 6.763]], "species": ["I", "Au", "I", "Au", "Au", "Au", "I", "Au", "I", "I", "Au", "I"], "fractional_positions": [[0.184, 0.280, 0.679], [0.395, 0.089, 0.932], [0.316, 0.720, 0.179], [0.000, 0.421, 0.639], [0.500, 0.579, 0.139], [0.895, 0.911, 0.432], [0.816, 0.280, 0.679], [0.105, 0.911, 0.432], [0.500, 0.310, 0.641], [0.000, 0.690, 0.141], [0.605, 0.089, 0.932], [0.684, 0.720, 0.179]]}

{"formula": "PrGaF", "functional": "PBE", "state": "relaxed", "polymorph_energy_ev_per_fu": 0.00, "lattice_angstrom": [[4.174, 0.000, 0.000], [0.000, 7.721, 0.920], [0.000, 0.489, 3.778]], "species": ["F", "Ga", "Ga", "Pr", "F", "Pr"], "fractional_positions": [[0.750, 0.497, 0.252], [0.750, 0.909, 0.547], [0.250, 0.091, 0.453], [0.750, 0.286, 0.857], [0.250, 0.503, 0.748], [0.250, 0.714, 0.143]]}

{"formula": "LaCu3Sb3", "functional": "PBE", "state": "relaxed", "lattice_angstrom": [[-3.021, 4.750, 4.285], [0.466, -4.563, 5.387], [6.381, 2.582, 1.636]], "species": ["Cu", "La", "Cu", "La", "Sb", "Cu", "Cu", "Sb", "Sb", "Sb", "Cu", "Sb", "Sb", "Cu"], "fractional_positions": [[0.250, 0.500, 0.000], [0.000, 0.000, 0.000], [0.750, 0.500, 0.000], [0.500, 0.500, 0.500], [0.000, 0.500, 0.750], [0.500, 0.000, 0.250], [0.000, 0.250, 0.500], [0.750, 0.000, 0.500], [0.250, 0.000, 0.500], [0.000, 0.500, 0.250], [0.000, 0.750, 0.500], [0.500, 0.750, 0.000], [0.500, 0.250, 0.000], [0.500, 0.000, 0.750]]}

The following VASP energy values (in eV per atom) correspond, in order, to the records above: -5.902; -6.711; -4.388; -2.872; -5.522; -2.414; -5.288; -4.315.